Here is crystalline TcHPt2Rh at its relaxed geometry from the Alexandria database. Energies are from PBE-GGA.

Results
- Energy: -0.477 Ry per atom
- Density of states at the Fermi level: 1.1060 states/eV per atom
- Size of the total moment: 2.320 μB/f.u.

abc: 3.9997 3.9997 3.9692
angles: 90.00 90.00 90.00
With the nearest neighbours (Å) after each atom.
Positions (direct):
1 Tc 0.0000 0.0000 0.0000  8 Pt 2.82, 4 Rh 2.83
2 H 0.5000 0.5000 0.5000  2 Rh 1.98, 4 Pt 2.00
3 Pt 0.0000 0.5000 0.5000  2 H 2.00
4 Pt 0.5000 0.0000 0.5000  2 H 2.00
5 Rh 0.5000 0.5000 0.0000  2 H 1.98

=====

Here is crystalline Tc2HPtRh at its relaxed geometry from the Alexandria database. Energies are from PBE-GGA.

Results
- Energy: -0.553 Ry per atom
- Energy relative to the lowest polymorph listed for this composition: 0.000 eV per atom
- Density of states at the Fermi level: 1.0698 states/eV per atom
- Size of the total moment: 0.000 μB/f.u.

abc: 3.8885 3.8885 4.0106
angles: 90.00 90.00 90.00
With the nearest neighbours (Å) after each atom.
Positions (direct):
1 Tc 0.0000 0.5000 0.0000  2 H 1.94
2 Tc 0.5000 0.0000 0.0000  2 H 1.94
3 H 0.0000 0.0000 0.0000  4 Tc 1.94, 2 Rh 2.01
4 Pt 0.5000 0.5000 0.5000  4 Rh 2.75, 8 Tc 2.79
5 Rh 0.0000 0.0000 0.5000  2 H 2.01

=====

Here is crystalline Th4H3PtRh12 at its relaxed geometry from the Alexandria database. Energies are from PBE-GGA.

Results
- Energy: -0.534 Ry per atom
- Density of states at the Fermi level: 1.1103 states/eV per atom
- Size of the total moment: 0.003 μB/f.u.

abc: 7.4347 7.4347 7.4347
angles: 109.47 109.47 109.47
With the nearest neighbours (Å) after each atom.
Positions (direct):
1 Th 0.0000 0.0000 0.5000  12 Rh 3.04-3.06
2 Th 0.0000 0.5000 0.0000  12 Rh 3.04-3.06
3 Th 0.5000 0.0000 0.0000  12 Rh 3.04-3.06
4 Th 0.5000 0.5000 0.5000  12 Rh 3.04-3.06
5 H 0.0000 0.5000 0.5000  2 Rh 1.76
6 H 0.5000 0.0000 0.5000  2 Rh 1.76
7 H 0.5000 0.5000 0.0000  2 Rh 1.76
8 Pt 0.0000 0.0000 0.0000  6 Rh 2.53
9 Rh 0.0000 0.2946 0.2946  1 H 1.76
10 Rh 0.0000 0.7054 0.7054  1 H 1.76
11 Rh 0.2500 0.5000 0.7500  2 H 2.15
12 Rh 0.2500 0.7500 0.5000  2 H 2.15
13 Rh 0.2946 0.0000 0.2946  1 H 1.76
14 Rh 0.2946 0.2946 0.0000  1 H 1.76
15 Rh 0.5000 0.2500 0.7500  2 H 2.15
16 Rh 0.5000 0.7500 0.2500  2 H 2.15
17 Rh 0.7054 0.0000 0.7054  1 H 1.76
18 Rh 0.7054 0.7054 0.0000  1 H 1.76
19 Rh 0.7500 0.2500 0.5000  2 H 2.15
20 Rh 0.7500 0.5000 0.2500  2 H 2.15

=====

Here is crystalline Ti2HPtRh at its relaxed geometry from the Alexandria database. Energies are from PBE-GGA.

Results
- Energy: -0.530 Ry per atom
- Energy relative to the lowest polymorph listed for this composition: 0.000 eV per atom
- Density of states at the Fermi level: 0.8014 states/eV per atom
- Size of the total moment: 0.631 μB/f.u.

abc: 4.0532 4.0532 3.8220
angles: 90.00 90.00 90.00
With the nearest neighbours (Å) after each atom.
Positions (direct):
1 Ti 0.0000 0.5000 0.0000  2 H 2.03
2 Ti 0.5000 0.0000 0.0000  2 H 2.03
3 H 0.0000 0.0000 0.0000  2 Rh 1.91, 4 Ti 2.03
4 Pt 0.5000 0.5000 0.5000  8 Ti 2.79, 4 Rh 2.87
5 Rh 0.0000 0.0000 0.5000  2 H 1.91

=====

Here is crystalline Ti2HPtRh at its relaxed geometry from the Alexandria database. Energies are from PBE-GGA.

Results
- Energy: -0.525 Ry per atom
- Energy relative to the lowest polymorph listed for this composition: 0.068 eV per atom
- Density of states at the Fermi level: 0.8423 states/eV per atom
- Size of the total moment: 0.628 μB/f.u.

abc: 4.0460 4.0460 3.8537
angles: 90.00 90.00 90.00
With the nearest neighbours (Å) after each atom.
Positions (direct):
1 Ti 0.0000 0.5000 0.0000  2 H 2.02
2 Ti 0.5000 0.0000 0.0000  2 H 2.02
3 H 0.0000 0.0000 0.0000  2 Pt 1.93, 4 Ti 2.02
4 Pt 0.0000 0.0000 0.5000  2 H 1.93
5 Rh 0.5000 0.5000 0.5000  8 Ti 2.79, 4 Pt 2.86

=====

Here is crystalline TlHPtRh2 at its relaxed geometry from the Alexandria database. Energies are from PBE-GGA.

Results
- Energy: -0.388 Ry per atom
- Density of states at the Fermi level: 0.8039 states/eV per atom
- Size of the total moment: 0.000 μB/f.u.

abc: 4.1422 4.1422 3.9626
angles: 90.00 90.00 90.00
With the nearest neighbours (Å) after each atom.
Positions (direct):
1 Tl 0.0000 0.0000 0.0000  8 Rh 2.87, 4 Pt 2.93
2 H 0.5000 0.5000 0.5000  2 Pt 1.98, 4 Rh 2.07
3 Pt 0.5000 0.5000 0.0000  2 H 1.98
4 Rh 0.0000 0.5000 0.5000  2 H 2.07
5 Rh 0.5000 0.0000 0.5000  2 H 2.07